Entry 1:
The following is a DFT calculation (PBE-GGA) of H2I2Cl7 after structural relaxation.

Calculated values
electronic total energy = -2.31 eV per atom

abc: 19.551 11.264 7.639
angles: 90.00 91.01 90.00
Space group C2/c (No. 15)
Asymmetric unit:
H 0.180 0.123 0.409 [8 per cell]
I 0.135 0.498 0.248 [8 per cell]
Cl 0.000 0.500 0.250 [4 per cell]
Cl 0.131 0.277 0.237 [8 per cell]
Cl 0.139 0.286 0.755 [8 per cell]
Cl 0.197 0.018 0.467 [8 per cell]



Entry 2:
The following is a DFT calculation (PBE-GGA) of UFeNi4 after structural relaxation.

Calculated values
DFT formation energy = 0.328 eV per atom

abc: 4.715 4.715 8.249
angles: 90.00 90.00 90.00
Space group P4_2/nmc (No. 137, origin choice 2)
Asymmetric unit:
U 0.250 0.750 0.250 [2 per cell]
Fe 0.250 0.750 0.750 [2 per cell]
Ni 0.011 0.250 0.005 [8 per cell]



Entry 3:
The following is a DFT calculation (PBE-GGA) of RuRhSeBr2 after structural relaxation.

Calculated values
uncorrected formation energy = 796 meV/atom
E above lowest polymorph = 0.000 eV/atom

abc: 5.209 5.209 4.595
angles: 90.00 90.00 90.00
Space group P4/mmm (No. 123)
Asymmetric unit:
Ru 0.000 0.000 0.000 [1 per cell]
Rh 0.500 0.500 0.500 [1 per cell]
Se 0.000 0.000 0.500 [1 per cell]
Br 0.000 0.500 0.000 [2 per cell]



Entry 4:
The following is a DFT calculation (PBE-GGA) of Pa2Nb3Si4 after structural relaxation.

Calculated values
uncorrected formation energy = -704 meV/atom

abc: 7.082 7.097 6.928
angles: 90.00 109.52 90.00
Space group P2_1/c (No. 14)
Asymmetric unit:
Pa 0.189 0.169 0.063 [4 per cell]
Nb 0.248 0.672 0.248 [4 per cell]
Nb 0.500 0.000 0.500 [2 per cell]
Si 0.082 0.541 0.864 [4 per cell]
Si 0.499 0.127 0.871 [4 per cell]



Entry 5:
The following is a DFT calculation (PBE-GGA) of Ho4MgRu2 after structural relaxation.

Calculated values
DFT formation energy = -0.218 eV per atom

abc: 6.735 6.919 7.993
angles: 86.89 68.14 86.79
Space group P1 (No. 1)
Asymmetric unit:
Ho 0.000 0.000 0.000 [1 per cell]
Ho 0.010 0.446 0.126 [1 per cell]
Ho 0.269 0.413 0.509 [1 per cell]
Ho 0.315 0.946 0.545 [1 per cell]
Ho 0.460 0.881 0.093 [1 per cell]
Ho 0.532 0.359 0.063 [1 per cell]
Ho 0.746 0.297 0.572 [1 per cell]
Ho 0.868 0.829 0.440 [1 per cell]
Mg 0.408 0.623 0.780 [1 per cell]
Mg 0.887 0.645 0.808 [1 per cell]
Ru 0.151 0.140 0.294 [1 per cell]
Ru 0.351 0.201 0.833 [1 per cell]
Ru 0.620 0.626 0.321 [1 per cell]
Ru 0.655 0.132 0.295 [1 per cell]



Entry 6:
The following is a DFT calculation (PBE-GGA) of Mn3S after structural relaxation.

Calculated values
uncorrected formation energy = 100 meV/atom
E above lowest polymorph = 0.000 eV/atom

abc: 2.789 2.956 6.358
angles: 90.00 90.00 90.00
Space group Pmm2 (No. 25)
Asymmetric unit:
Mn 0.000 0.000 0.000 [1 per cell]
Mn 0.000 0.500 0.434 [1 per cell]
Mn 0.500 0.500 0.771 [1 per cell]
S 0.500 0.000 0.295 [1 per cell]



Entry 7:
The following is a DFT calculation (PBE-GGA) of Tb4TlCdAg2 after structural relaxation.

Calculated values
DFT formation energy = -0.317 eV per atom

abc: 5.2561 5.2561 25.9039
angles: 90.00 90.00 120.00
Space group R-3m (No. 166, hexagonal axes)
Asymmetric unit:
Tb 0.0000 0.0000 0.1241 [6 per cell]
Tb 0.0000 0.0000 0.3744 [6 per cell]
Tl 0.0000 0.0000 0.5000 [3 per cell]
Cd 0.0000 0.0000 0.0000 [3 per cell]
Ag 0.0000 0.0000 0.2534 [6 per cell]



Entry 8:
The following is a DFT calculation (PBE-GGA) of CaPrGaSn after structural relaxation.

Calculated values
E above lowest polymorph = 0.000 eV/atom
DFT formation energy = -0.648 eV per atom

abc: 4.308 4.671 11.437
angles: 90.00 90.00 90.00
Space group Amm2 (No. 38)
Asymmetric unit:
Ca 0.000 0.000 0.000 [2 per cell]
Pr 0.500 0.000 0.275 [2 per cell]
Ga 0.000 0.000 0.721 [2 per cell]
Sn 0.500 0.000 0.564 [2 per cell]